The following is a DFT calculation (PBE-GGA) of Zr2ZnAs after structural relaxation.

```
4
Lattice="5.0217 -0.0110 0.0000 1.2558 4.8621 0.0000 -3.1387 -2.4256 3.0793" Properties=species:S:1:pos:R:3 pbc="T T T"
As 0.6279 2.4311 1.5397
Zr 0.0000 0.0000 0.0000
Zr 3.1387 2.4256 0.0000
Zn 2.5108 -0.0055 1.5397
```

Results
Volume in Å³/atom: 18.81
Formation energy in eV/f.u.: -2.02